(1)
The following is a DFT calculation (PBE-GGA) of crystalline NaMg2Sn at its relaxed geometry.

The structure in POSCAR format:
```
NaMg2Sn
1.0
4.569 0.000 0.000
0.000 4.569 0.000
2.285 2.285 10.509
Mg Na Sn
4 2 2
Direct
0.875 0.887 0.750
0.113 0.625 0.250
0.637 0.125 0.250
0.375 0.363 0.750
0.500 0.500 0.000
0.250 0.750 0.500
0.750 0.250 0.500
0.000 0.000 0.000
```

## Properties
DFT formation energy = 0.137 eV per atom
M_tot = 0.000 μB per atom
Calculated volume = 27.427 A^3/atom
Fermi-level density of states = 0.614 states/eV/atom



(2)
The following is a DFT calculation (PBE-GGA) of crystalline NaMg14Sn at its relaxed geometry.

The structure in POSCAR format:
```
NaMg14Sn
1.0
3.234 -5.601 0.000
3.234 5.601 0.000
0.000 0.000 10.347
Mg Na Sn
14 1 1
Direct
0.169 0.338 0.244
0.662 0.831 0.244
0.503 0.497 0.000
0.498 0.502 0.500
0.169 0.831 0.756
0.169 0.831 0.244
0.503 0.006 0.000
0.498 0.997 0.500
0.003 0.502 0.500
0.667 0.333 0.253
0.662 0.831 0.756
0.994 0.497 0.000
0.169 0.338 0.756
0.667 0.333 0.747
0.000 0.000 0.500
0.000 0.000 0.000
```

## Properties
DFT formation energy = 0.002 eV per atom
M_tot = 0.000 μB per atom
Calculated volume = 23.425 A^3/atom
Fermi-level density of states = 0.465 states/eV/atom



(3)
The following is a DFT calculation (PBE-GGA) of crystalline NaMg2Sn at its relaxed geometry.

The structure in POSCAR format:
```
NaMg2Sn
1.0
4.432 0.000 0.000
0.000 4.432 0.000
0.000 0.000 11.176
Mg Na Sn
4 2 2
Direct
0.500 0.000 0.937
0.500 0.500 0.500
0.000 0.500 0.063
0.000 0.000 0.500
0.000 0.500 0.760
0.500 0.000 0.240
0.000 0.500 0.325
0.500 0.000 0.675
```

## Properties
DFT formation energy = -0.069 eV per atom
M_tot = 0.000 μB per atom
Calculated volume = 27.444 A^3/atom
Fermi-level density of states = 0.721 states/eV/atom



(4)
The following is a DFT calculation (PBE-GGA) of crystalline NaMgSn4 at its relaxed geometry.

The structure in POSCAR format:
```
NaMgSn4
1.0
-2.497 -5.787 1.516
6.836 -2.901 0.169
-2.233 4.653 6.788
Sn Mg Na
8 2 2
Direct
0.607 0.563 0.213
0.107 0.063 0.213
0.893 0.350 0.787
0.393 0.850 0.787
0.107 0.650 0.213
0.893 0.937 0.787
0.393 0.437 0.787
0.607 0.150 0.213
0.750 0.750 0.000
0.250 0.250 0.000
0.000 0.500 0.500
0.500 0.000 0.500
```

## Properties
DFT formation energy = -0.003 eV per atom
M_tot = 0.000 μB per atom
Calculated volume = 30.015 A^3/atom
Fermi-level density of states = 0.298 states/eV/atom
E above lowest polymorph = 38 meV/atom



(5)
The following is a DFT calculation (PBE-GGA) of crystalline NaMgSn at its relaxed geometry.

The structure in POSCAR format:
```
NaMgSn
1.0
4.050 0.000 0.000
0.000 4.050 0.000
-2.025 -2.025 4.688
Mg Sn Na
1 1 1
Direct
0.292 0.292 0.585
0.943 0.943 0.887
0.614 0.614 0.229
```

## Properties
DFT formation energy = -0.077 eV per atom
M_tot = 0.000 μB per atom
Calculated volume = 25.636 A^3/atom
Fermi-level density of states = 0.415 states/eV/atom
E above lowest polymorph = 101 meV/atom



(6)
The following is a DFT calculation (PBE-GGA) of crystalline NaMg6Sn2 at its relaxed geometry.

The structure in POSCAR format:
```
NaMg6Sn2
1.0
-0.977 4.366 -1.430
-3.441 0.273 3.185
6.863 3.856 7.086
Sn Mg Na
2 6 1
Direct
0.500 0.500 0.865
0.500 0.500 0.135
0.000 0.500 0.298
0.000 0.500 0.702
0.500 0.000 0.298
0.000 0.000 0.500
0.500 0.000 0.702
0.500 0.500 0.500
0.000 0.000 0.000
```

## Properties
DFT formation energy = -0.064 eV per atom
M_tot = 0.000 μB per atom
Calculated volume = 25.960 A^3/atom
Fermi-level density of states = 0.453 states/eV/atom



(7)
The following is a DFT calculation (PBE-GGA) of crystalline Na2Mg3Sn2 at its relaxed geometry.

The structure in POSCAR format:
```
Na2Mg3Sn2
1.0
4.656 0.000 0.000
-2.328 5.521 -0.177
0.000 -2.750 7.468
Mg Na Sn
3 2 2
Direct
0.625 0.249 0.436
0.375 0.751 0.564
0.500 0.000 0.000
0.856 0.712 0.214
0.144 0.288 0.786
0.850 0.700 0.785
0.150 0.300 0.215
```

## Properties
DFT formation energy = -0.121 eV per atom
M_tot = 0.000 μB per atom
Calculated volume = 27.098 A^3/atom
Fermi-level density of states = 0.443 states/eV/atom



(8)
The following is a DFT calculation (PBE-GGA) of crystalline NaMg2Sn2 at its relaxed geometry.

The structure in POSCAR format:
```
NaMg2Sn2
1.0
4.740 0.000 0.000
0.000 4.740 0.000
2.370 2.370 6.234
Mg Sn Na
2 2 1
Direct
0.250 0.750 0.500
0.750 0.250 0.500
0.387 0.387 0.225
0.613 0.613 0.775
0.000 0.000 0.000
```

## Properties
DFT formation energy = -0.172 eV per atom
M_tot = 0.000 μB per atom
Calculated volume = 28.010 A^3/atom
Fermi-level density of states = 0.282 states/eV/atom
E above lowest polymorph = 0 meV/atom



(9)
The following is a DFT calculation (PBE-GGA) of crystalline NaMg7Sn4 at its relaxed geometry.

The structure in POSCAR format:
```
NaMg7Sn4
1.0
5.214 0.000 0.000
2.607 8.451 -0.495
2.607 -0.095 7.210
Sn Mg Na
4 7 1
Direct
0.282 0.312 0.125
0.439 0.770 0.353
0.718 0.688 0.875
0.561 0.230 0.647
0.647 0.406 0.300
0.210 0.123 0.458
0.353 0.594 0.700
0.095 0.654 0.155
0.905 0.346 0.845
0.500 0.000 0.000
0.790 0.877 0.542
0.000 0.000 0.000
```

## Properties
DFT formation energy = 0.007 eV per atom
M_tot = 0.000 μB per atom
Calculated volume = 26.453 A^3/atom
Fermi-level density of states = 0.300 states/eV/atom



(10)
The following is a DFT calculation (PBE-GGA) of crystalline NaMg2Sn2 at its relaxed geometry.

The structure in POSCAR format:
```
NaMg2Sn2
1.0
8.792 0.000 0.000
0.000 8.792 0.000
0.000 0.000 3.299
Mg Sn Na
4 4 2
Direct
0.373 0.873 0.000
0.127 0.373 0.000
0.873 0.627 0.000
0.627 0.127 0.000
0.669 0.831 0.500
0.331 0.169 0.500
0.831 0.331 0.500
0.169 0.669 0.500
0.500 0.500 0.000
0.000 0.000 0.000
```

## Properties
DFT formation energy = -0.156 eV per atom
M_tot = 0.000 μB per atom
Calculated volume = 25.498 A^3/atom
Fermi-level density of states = 0.281 states/eV/atom
E above lowest polymorph = 16 meV/atom



(11)
The following is a DFT calculation (PBE-GGA) of crystalline NaMg5Sn6 at its relaxed geometry.

The structure in POSCAR format:
```
NaMg5Sn6
1.0
-1.420 -1.211 5.802
-8.828 -3.678 -0.882
-2.390 -6.578 -0.935
Na Sn Mg
1 6 5
Direct
0.000 0.000 0.000
0.254 0.577 0.339
0.254 0.916 0.661
0.740 0.748 0.000
0.260 0.252 0.000
0.746 0.423 0.661
0.746 0.084 0.339
0.500 0.500 0.000
0.500 0.167 0.665
0.500 0.833 0.335
0.000 0.664 0.672
0.000 0.336 0.328
```

## Properties
DFT formation energy = -0.111 eV per atom
M_tot = 0.000 μB per atom
Calculated volume = 24.729 A^3/atom
Fermi-level density of states = 0.394 states/eV/atom
E above lowest polymorph = 22 meV/atom



(12)
The following is a DFT calculation (PBE-GGA) of crystalline NaMg2Sn at its relaxed geometry.

The structure in POSCAR format:
```
NaMg2Sn
1.0
-0.077 3.345 0.315
-2.843 1.535 0.923
1.992 0.686 11.116
Mg Sn Na
2 1 1
Direct
0.906 0.906 0.282
0.094 0.094 0.718
0.500 0.500 0.500
0.000 0.000 0.000
```

## Properties
DFT formation energy = 0.077 eV per atom
M_tot = 0.000 μB per atom
Calculated volume = 27.253 A^3/atom
Fermi-level density of states = 0.614 states/eV/atom



(13)
The following is a DFT calculation (PBE-GGA) of crystalline NaSrMgSn2 at its relaxed geometry.

The structure in POSCAR format:
```
NaSrMgSn2
1.0
-2.796 0.152 -3.895
-1.186 -4.600 0.671
-3.061 4.066 5.311
Sn Na Mg Sr
2 1 1 1
Direct
0.609 0.609 0.217
0.391 0.391 0.783
0.250 0.750 0.500
0.750 0.250 0.500
0.000 0.000 0.000
```

## Properties
DFT formation energy = -0.362 eV per atom
M_tot = 0.000 μB per atom
Calculated volume = 30.043 A^3/atom
Fermi-level density of states = 0.379 states/eV/atom



(14)
The following is a DFT calculation (PBE-GGA) of crystalline NaTbMgSn at its relaxed geometry.

The structure in POSCAR format:
```
NaTbMgSn
1.0
5.298 0.000 0.000
2.649 4.588 0.000
2.649 1.529 4.326
Mg Sn Na Tb
1 1 1 1
Direct
0.500 0.500 0.500
0.000 0.000 0.000
0.750 0.750 0.750
0.250 0.250 0.250
```

## Properties
DFT formation energy = -0.239 eV per atom
M_tot = 0.000 μB per atom
Calculated volume = 26.287 A^3/atom
Fermi-level density of states = 0.343 states/eV/atom



(15)
The following is a DFT calculation (PBE-GGA) of crystalline NaMgSn2Te4 at its relaxed geometry.

The structure in POSCAR format:
```
NaMgSn2Te4
1.0
-3.312 0.719 -2.737
3.999 -3.236 -5.690
-1.539 -7.539 -0.120
Sn Te Mg Na
2 4 1 1
Direct
0.000 0.000 0.000
0.500 0.000 0.500
0.500 0.739 0.267
0.000 0.748 0.736
0.000 0.252 0.264
0.500 0.261 0.733
0.000 0.500 0.500
0.500 0.500 0.000
```

## Properties
M_tot = 0.000 μB per atom
Calculated volume = 30.444 A^3/atom
Fermi-level density of states = 0.334 states/eV/atom
Formation energy without anion corrections = -0.505 eV per atom



(16)
The following is a DFT calculation (PBE-GGA) of crystalline NaMg2Sn3Te6 at its relaxed geometry.

The structure in POSCAR format:
```
NaMg2Sn3Te6
1.0
4.356 0.000 0.000
0.000 8.917 0.382
-2.178 -2.498 9.266
Te Mg Na Sn
6 2 1 3
Direct
0.671 0.102 0.343
0.329 0.426 0.659
0.011 0.260 0.021
0.989 0.740 0.979
0.671 0.574 0.341
0.329 0.898 0.657
0.833 0.666 0.666
0.167 0.334 0.334
0.500 0.000 0.000
0.166 0.834 0.332
0.834 0.166 0.668
0.500 0.500 0.000
```

## Properties
M_tot = 0.000 μB per atom
Calculated volume = 30.337 A^3/atom
Fermi-level density of states = 0.357 states/eV/atom
Formation energy without anion corrections = -0.516 eV per atom



(17)
The following is a DFT calculation (PBE-GGA) of crystalline NaMgSnTe3 at its relaxed geometry.

The structure in POSCAR format:
```
NaMgSnTe3
1.0
4.258 0.000 0.000
0.000 8.484 -0.177
0.000 -2.502 10.794
Te Mg Sn Na
6 2 2 2
Direct
0.750 0.923 0.108
0.750 0.227 0.478
0.250 0.077 0.892
0.250 0.512 0.820
0.250 0.773 0.522
0.750 0.488 0.180
0.250 0.662 0.081
0.750 0.338 0.919
0.750 0.856 0.361
0.250 0.144 0.639
0.250 0.223 0.217
0.750 0.777 0.783
```

## Properties
M_tot = 0.000 μB per atom
Calculated volume = 32.341 A^3/atom
Fermi-level density of states = 0.505 states/eV/atom
Formation energy without anion corrections = -0.526 eV per atom



(18)
The following is a DFT calculation (PBE-GGA) of crystalline NaTmMgSn at its relaxed geometry.

The structure in POSCAR format:
```
NaTmMgSn
1.0
-1.641 2.394 4.386
-5.067 -0.238 1.387
-1.454 -2.857 4.169
Mg Tm Sn Na
1 1 1 1
Direct
0.500 0.500 0.500
0.750 0.750 0.750
0.000 0.000 0.000
0.250 0.250 0.250
```

## Properties
DFT formation energy = -0.205 eV per atom
M_tot = 0.000 μB per atom
Calculated volume = 25.714 A^3/atom
Fermi-level density of states = 0.350 states/eV/atom



(19)
The following is a DFT calculation (PBE-GGA) of crystalline NaYMgSn at its relaxed geometry.

The structure in POSCAR format:
```
NaYMgSn
1.0
-1.141 2.658 -4.432
2.689 -0.994 -4.449
-2.375 -2.473 -4.031
Mg Na Y Sn
1 1 1 1
Direct
0.000 0.000 0.000
0.750 0.750 0.750
0.250 0.250 0.250
0.500 0.500 0.500
```

## Properties
DFT formation energy = -0.244 eV per atom
M_tot = 0.000 μB per atom
Calculated volume = 26.205 A^3/atom
Fermi-level density of states = 0.372 states/eV/atom



(20)
The following is a DFT calculation (PBE-GGA) of crystalline Na2MgZn4Sn3 at its relaxed geometry.

The structure in POSCAR format:
```
Na2MgZn4Sn3
1.0
-3.167 -2.074 -2.229
-1.780 -1.349 3.784
-6.822 10.025 0.365
Zn Sn Na Mg
4 3 2 1
Direct
0.000 0.500 0.356
0.000 0.000 0.000
0.500 0.000 0.644
0.500 0.500 0.000
0.500 0.000 0.861
0.000 0.000 0.500
0.000 0.500 0.139
0.500 0.000 0.250
0.000 0.500 0.750
0.500 0.500 0.500
```

## Properties
DFT formation energy = -0.071 eV per atom
M_tot = 0.000 μB per atom
Calculated volume = 23.419 A^3/atom
Fermi-level density of states = 0.569 states/eV/atom



(21)
The following is a DFT calculation (PBE-GGA) of crystalline NaMg2Zn2Sn2 at its relaxed geometry.

The structure in POSCAR format:
```
NaMg2Zn2Sn2
1.0
4.673 0.000 0.000
2.336 4.047 0.000
2.336 1.349 8.733
Na Sn Zn Mg
1 2 2 2
Direct
0.000 0.000 0.000
0.744 0.744 0.767
0.256 0.256 0.233
0.553 0.553 0.341
0.447 0.447 0.659
0.138 0.138 0.586
0.862 0.862 0.414
```

## Properties
DFT formation energy = -0.111 eV per atom
M_tot = 0.000 μB per atom
Calculated volume = 23.588 A^3/atom
Fermi-level density of states = 0.303 states/eV/atom



(22)
The following is a DFT calculation (PBE-GGA) of crystalline NaMgZn2Sn2 at its relaxed geometry.

The structure in POSCAR format:
```
NaMgZn2Sn2
1.0
4.701 0.000 0.000
-2.350 4.071 0.000
0.000 0.000 7.191
Zn Mg Na Sn
2 1 1 2
Direct
0.667 0.333 0.302
0.333 0.667 0.698
0.000 0.000 0.500
0.000 0.000 0.000
0.667 0.333 0.737
0.333 0.667 0.263
```

## Properties
DFT formation energy = -0.077 eV per atom
M_tot = 0.000 μB per atom
Calculated volume = 22.938 A^3/atom
Fermi-level density of states = 0.279 states/eV/atom



(23)
The following is a DFT calculation (PBE-GGA) of crystalline NaMgZnSn at its relaxed geometry.

The structure in POSCAR format:
```
NaMgZnSn
1.0
5.004 0.000 0.000
2.502 4.334 0.000
2.502 1.445 4.086
Mg Zn Sn Na
1 1 1 1
Direct
0.500 0.500 0.500
0.250 0.250 0.250
0.750 0.750 0.750
0.000 0.000 0.000
```

## Properties
DFT formation energy = -0.046 eV per atom
M_tot = 0.000 μB per atom
Calculated volume = 22.155 A^3/atom
Fermi-level density of states = 0.329 states/eV/atom



(24)
The following is a DFT calculation (PBE-GGA) of crystalline Na2Sr2Mg at its relaxed geometry.

The structure in POSCAR format:
```
Na2Sr2Mg
1.0
-0.885 4.080 -0.409
-0.941 -0.609 -4.042
-9.979 -3.813 5.075
Sr Na Mg
2 2 1
Direct
0.590 0.590 0.181
0.410 0.410 0.819
0.206 0.206 0.411
0.794 0.794 0.589
0.000 0.000 0.000
```

## Properties
DFT formation energy = -0.021 eV per atom
M_tot = 0.000 μB per atom
Calculated volume = 40.286 A^3/atom
Fermi-level density of states = 0.535 states/eV/atom
E above lowest polymorph = 0 meV/atom



(25)
The following is a DFT calculation (PBE-GGA) of crystalline Na2Sr3Mg at its relaxed geometry.

The structure in POSCAR format:
```
Na2Sr3Mg
1.0
-0.920 3.947 -4.702
-3.583 -5.026 -7.615
-8.174 1.499 2.856
Sr Mg Na
6 2 4
Direct
0.500 0.000 0.763
0.171 0.658 0.232
0.829 0.342 0.768
0.500 0.000 0.237
0.171 0.658 0.768
0.829 0.342 0.232
0.665 0.671 0.000
0.335 0.329 0.000
0.665 0.670 0.500
0.000 0.000 0.000
0.000 0.000 0.500
0.335 0.330 0.500
```

## Properties
DFT formation energy = -0.003 eV per atom
M_tot = 0.000 μB per atom
Calculated volume = 42.266 A^3/atom
Fermi-level density of states = 0.809 states/eV/atom